Entry 1:
PBE HgIr2Br, relaxed; D(E_F) = 1.54 states/eV/atom; ΔE_f (raw) = 0.601 eV per atom; space group = No. 160; excess energy over the best structure of this formula in the dataset = 0.179 eV per atom
1.0
-1.685 -9.133 4.668
0.630 -8.226 6.323
-2.139 -7.356 7.025
Ir Hg Br
2 1 1
direct
0.988 0.988 0.988 Ir
0.256 0.256 0.256 Ir
0.733 0.733 0.733 Hg
0.522 0.522 0.522 Br

***

Entry 2:
PBE Er3PdRu, relaxed; D(E_F) = 0.79 states/eV/atom; ΔE_f = -2.702 eV/f.u.; space group = No. 12
1.0
-2.723 3.570 -0.508
-4.727 -1.266 -3.663
-5.246 -3.042 6.688
Er Pd Ru
6 2 2
direct
0.229 0.110 0.346 Er
0.492 0.584 0.114 Er
0.196 0.176 0.945 Er
0.737 0.095 0.657 Er
0.459 0.650 0.713 Er
0.952 0.666 0.402 Er
0.765 0.039 0.143 Pd
0.924 0.721 0.916 Pd
0.097 0.374 0.663 Ru
0.591 0.387 0.396 Ru

***

Entry 3:
PBE Na2MoCl, relaxed; D(E_F) = 0.35 states/eV/atom; ΔE_f (raw) = 0.647 eV per atom; space group = No. 225; excess energy over the best structure of this formula in the dataset = 0.136 eV per atom
1.0
0.000 3.849 3.849
3.849 0.000 3.849
3.849 3.849 0.000
Na Mo Cl
2 1 1
direct
0.250 0.250 0.250 Na
0.750 0.750 0.750 Na
0.500 0.500 0.500 Mo
0.000 0.000 0.000 Cl

***

Entry 4:
PBE ReAs2WSe, relaxed; D(E_F) = 0.55 states/eV/atom; ΔE_f (raw) = 1.444 eV per atom; space group = No. 123; excess energy over the best structure of this formula in the dataset = 0.000 eV per atom
1.0
4.948 0.000 0.000
0.000 4.948 0.000
0.000 0.000 4.779
Re As Se W
1 2 1 1
direct
0.500 0.500 0.500 Re
0.000 0.500 0.000 As
0.500 0.000 0.000 As
0.000 0.000 0.500 Se
0.000 0.000 0.000 W

***

Entry 5:
PBE Ba3Li2I8, relaxed; D(E_F) = 0.00 states/eV/atom; ΔE_f (raw) = -1.561 eV per atom; space group = No. 12
1.0
8.171 0.248 -3.017
-2.080 8.666 -4.920
0.305 -0.695 9.179
Ba Li I
3 2 8
direct
0.500 0.000 0.000 Ba
0.000 0.734 0.000 Ba
0.000 0.266 0.000 Ba
0.616 0.660 0.320 Li
0.384 0.340 0.680 Li
0.724 0.368 0.736 I
0.276 0.632 0.264 I
0.758 0.872 0.743 I
0.242 0.128 0.257 I
0.745 0.387 0.254 I
0.745 0.867 0.254 I
0.255 0.133 0.746 I
0.255 0.613 0.746 I

***

Entry 6:
PBE TbNdScCd, relaxed; D(E_F) = 1.31 states/eV/atom; ΔE_f = -0.212 eV/f.u.; space group = No. 216; excess energy over the best structure of this formula in the dataset = 0.000 eV per atom
1.0
-4.833 2.159 1.116
-1.699 0.323 5.126
-0.311 4.814 2.448
Sc Nd Tb Cd
1 1 1 1
direct
0.250 0.250 0.250 Sc
0.000 0.000 0.000 Nd
0.500 0.500 0.500 Tb
0.750 0.750 0.750 Cd